1.
# AlCu2N

A geometry-optimized AlCu2N structure (GGA-PBE, the Alexandria database).

a b c (Å): 4.024 4.024 4.024
angles (deg): 60.00 60.00 60.00
Positions (direct):
Al1 0.500 0.500 0.500
Cu1 0.250 0.250 0.250
Cu2 0.750 0.750 0.750
N1 0.000 0.000 0.000

2.
# AlCu2N

A geometry-optimized AlCu2N structure (GGA-PBE, the Alexandria database).

a b c (Å): 4.760 4.760 6.347
angles (deg): 67.98 67.98 90.00
Positions (direct):
Cu1 0.375 0.520 0.750
Cu2 0.270 0.625 0.250
Cu3 0.480 0.125 0.250
Cu4 0.875 0.730 0.750
Al1 0.750 0.250 0.500
Al2 0.000 0.000 0.000
N1 0.250 0.750 0.500
N2 0.500 0.500 0.000

Least stable = 1

1.
# AlCuSeN2

A geometry-optimized AlCuSeN2 structure (GGA-PBE, the Alexandria database).

a b c (Å): 3.703 3.703 5.809
angles (deg): 90.00 90.00 90.00
Site moments in Bohr magnetons follow the coordinates.
Positions (direct):
Cu1 0.000 0.000 0.000  0.27
N1 0.500 0.000 0.000  0.80
N2 0.000 0.500 0.000  0.80
Se1 0.000 0.000 0.500  0.11
Al1 0.500 0.500 0.500  -0.01

2.
# AlCuSeN2

A geometry-optimized AlCuSeN2 structure (GGA-PBE, the Alexandria database).

a b c (Å): 3.633 3.633 5.835
angles (deg): 90.00 90.00 90.00
Site moments in Bohr magnetons follow the coordinates.
Positions (direct):
N1 0.000 0.500 0.000  0.40
N2 0.500 0.000 0.000  0.40
Al1 0.000 0.000 0.000  -0.02
Se1 0.000 0.000 0.500  0.17
Cu1 0.500 0.500 0.500  0.05

Least stable = 1

1.
# AlCuSe2N

A geometry-optimized AlCuSe2N structure (GGA-PBE, the Alexandria database).

a b c (Å): 5.101 5.101 3.505
angles (deg): 90.00 90.00 90.00
Site moments in Bohr magnetons follow the coordinates.
Positions (direct):
Se1 0.500 0.000 0.000  0.17
Se2 0.000 0.500 0.000  0.17
Cu1 0.500 0.500 0.500  0.04
Al1 0.000 0.000 0.000  -0.01
N1 0.000 0.000 0.500  0.60

2.
# AlCuSe2N

A geometry-optimized AlCuSe2N structure (GGA-PBE, the Alexandria database).

a b c (Å): 4.778 4.615 4.778
angles (deg): 90.00 90.00 90.00
Positions (direct):
N1 0.500 0.500 0.500
Cu1 0.000 0.500 0.000
Se1 0.500 0.000 0.000
Se2 0.000 0.000 0.500
Al1 0.000 0.000 0.000

Least stable = 2

1.
# NaAl2Cu2

A geometry-optimized NaAl2Cu2 structure (GGA-PBE, the Alexandria database).

a b c (Å): 7.680 7.680 2.658
angles (deg): 90.00 90.00 90.00
Positions (direct):
Al1 0.134 0.634 0.500
Al2 0.634 0.866 0.500
Al3 0.866 0.366 0.500
Al4 0.366 0.134 0.500
Cu1 0.340 0.840 0.000
Cu2 0.840 0.660 0.000
Cu3 0.160 0.340 0.000
Cu4 0.660 0.160 0.000
Na1 0.500 0.500 0.000
Na2 0.000 0.000 0.000

2.
# NaAl2Cu2

A geometry-optimized NaAl2Cu2 structure (GGA-PBE, the Alexandria database).

a b c (Å): 4.068 4.068 6.097
angles (deg): 70.51 70.51 90.00
Positions (direct):
Cu1 0.386 0.386 0.229
Cu2 0.614 0.614 0.771
Al1 0.750 0.250 0.500
Al2 0.250 0.750 0.500
Na1 0.000 0.000 0.000

Least stable = 2